No. 1
## Zn2AgW (meta-GGA SCAN)

Data for a crystal of Zn2AgW relaxed with PBEsol.

Calculated values
For the density of states at the Fermi level, the calculation gives 2.67 states/eV per cell. As for the offset from the most stable computed form: 0.00 eV per formula unit. As for the formation energy: 1.18 eV/f.u.

Unit cell a=10.219 b=2.616 c=4.878 alpha=90.00 beta=113.95 gamma=90.00
Space group Cm (No. 8)
One atom of each set of equivalent atoms:
Zn (0.000, 0.000, 0.000) x2
Zn (0.247, 0.500, 0.430) x2
Ag (0.248, 0.000, 0.926) x2
W (0.493, 0.000, 0.491) x2

No. 2
## Zn2AgW (meta-GGA SCAN)

Data for a crystal of Zn2AgW relaxed with PBEsol.

Calculated values
For the density of states at the Fermi level, the calculation gives 9.93 states/eV per cell. As for the offset from the most stable computed form: 1.70 eV per formula unit. As for the formation energy: 2.88 eV/f.u.

Unit cell a=6.226 b=6.226 c=6.226 alpha=90.00 beta=90.00 gamma=90.00
Space group F-43m (No. 216)
One atom of each set of equivalent atoms:
Zn (0.000, 0.000, 0.000) x4
Zn (0.250, 0.250, 0.250) x4
Ag (0.000, 0.000, 0.500) x4
W (0.250, 0.250, 0.750) x4

No. 3
## Zn2AgW (meta-GGA SCAN)

Data for a crystal of Zn2AgW relaxed with PBEsol.

Calculated values
For the density of states at the Fermi level, the calculation gives 1.89 states/eV per cell. As for the offset from the most stable computed form: 0.13 eV per formula unit. As for the formation energy: 1.32 eV/f.u.

Unit cell a=2.736 b=3.499 c=6.139 alpha=90.00 beta=90.00 gamma=90.00
Space group Pmmm (No. 47)
One atom of each set of equivalent atoms:
Zn (0.000, 0.000, 0.250) x2
Ag (0.500, 0.500, 0.000) x1
W (0.500, 0.500, 0.500) x1

No. 4
## ZnAg2W (meta-GGA SCAN)

Data for a crystal of ZnAg2W relaxed with PBEsol.

Calculated values
For the density of states at the Fermi level, the calculation gives 2.04 states/eV per cell. As for the formation energy: 2.75 eV/f.u.

Unit cell a=4.839 b=4.839 c=2.719 alpha=90.00 beta=90.00 gamma=90.00
Space group P4/mmm (No. 123)
One atom of each set of equivalent atoms:
Zn (0.000, 0.000, 0.000) x1
Ag (0.000, 0.500, 0.500) x2
W (0.500, 0.500, 0.000) x1